PBE YHfAgHg2, optimized geometry; space-group type = P4/mmm, No. 123; total energy = -0.2532 Ry/atom
1.0
-2.473 4.078 2.438
-4.344 -1.184 -2.425
-1.369 -3.243 4.036
Hf Y Hg Ag
1 1 2 1
direct
0.000 0.000 0.000
0.500 0.500 0.500
0.000 0.000 0.500
0.500 0.000 0.000
0.000 0.500 0.000